#one
RbTlPb2 | PBE | optimized geometry

CIF file:
```
data_RbTlPb2
_cell_length_a 5.432
_cell_length_b 5.432
_cell_length_c 22.525
_cell_angle_alpha 90.00
_cell_angle_beta 90.00
_cell_angle_gamma 90.00
_symmetry_space_group_name_H-M 'P 1'
_symmetry_Int_Tables_number 1
loop_
_symmetry_equiv_pos_as_xyz
'x,y,z'
loop_
_atom_site_label
_atom_site_fract_x
_atom_site_fract_y
_atom_site_fract_z
Rb1 0.000 0.000 0.000
Rb2 0.000 0.500 0.250
Rb3 0.500 0.000 0.750
Rb4 0.500 0.500 0.500
Tl1 0.000 0.000 0.500
Tl2 0.000 0.500 0.750
Tl3 0.500 0.000 0.250
Tl4 0.500 0.500 0.000
Pb1 0.161 0.250 0.625
Pb2 0.250 0.661 0.875
Pb3 0.250 0.839 0.375
Pb4 0.339 0.250 0.125
Pb5 0.661 0.750 0.125
Pb6 0.750 0.161 0.375
Pb7 0.750 0.339 0.875
Pb8 0.839 0.750 0.625
```

## Properties
**Fermi-level density of states**: 23.544 states/eV/cell
**Crystal system**: tetragonal



#two
RbTlPb2 | PBE | optimized geometry

CIF file:
```
data_RbTlPb2
_cell_length_a 4.572
_cell_length_b 4.572
_cell_length_c 15.478
_cell_angle_alpha 90.00
_cell_angle_beta 90.00
_cell_angle_gamma 90.00
_symmetry_space_group_name_H-M 'P 1'
_symmetry_Int_Tables_number 1
loop_
_symmetry_equiv_pos_as_xyz
'x,y,z'
loop_
_atom_site_label
_atom_site_fract_x
_atom_site_fract_y
_atom_site_fract_z
Rb1 0.250 0.250 0.215
Rb2 0.750 0.750 0.785
Tl1 0.250 0.250 0.654
Tl2 0.750 0.750 0.346
Pb1 0.250 0.250 0.965
Pb2 0.250 0.750 0.500
Pb3 0.750 0.250 0.500
Pb4 0.750 0.750 0.035
```

## Properties
**Fermi-level density of states**: 4.704 states/eV/cell
**Crystal system**: tetragonal



#two is preferred energetically. Next in line: 147 meV/atom higher.



#one
RbTlPb2 | PBE | optimized geometry

CIF file:
```
data_RbTlPb2
_cell_length_a 8.534
_cell_length_b 5.298
_cell_length_c 13.124
_cell_angle_alpha 90.00
_cell_angle_beta 90.00
_cell_angle_gamma 90.00
_symmetry_space_group_name_H-M 'P 1'
_symmetry_Int_Tables_number 1
loop_
_symmetry_equiv_pos_as_xyz
'x,y,z'
loop_
_atom_site_label
_atom_site_fract_x
_atom_site_fract_y
_atom_site_fract_z
Rb1 0.249 0.250 0.172
Rb2 0.251 0.750 0.672
Rb3 0.749 0.250 0.328
Rb4 0.751 0.750 0.828
Tl1 0.057 0.250 0.902
Tl2 0.443 0.750 0.402
Tl3 0.557 0.250 0.598
Tl4 0.943 0.750 0.098
Pb1 0.062 0.750 0.346
Pb2 0.189 0.250 0.465
Pb3 0.311 0.750 0.965
Pb4 0.438 0.250 0.846
Pb5 0.562 0.750 0.154
Pb6 0.689 0.250 0.035
Pb7 0.811 0.750 0.535
Pb8 0.938 0.250 0.654
```

## Properties
**Fermi-level density of states**: 5.372 states/eV/cell
**Crystal system**: orthorhombic



#two
RbTlPb2 | PBE | optimized geometry

CIF file:
```
data_RbTlPb2
_cell_length_a 4.194
_cell_length_b 4.194
_cell_length_c 8.326
_cell_angle_alpha 90.00
_cell_angle_beta 90.00
_cell_angle_gamma 90.00
_symmetry_space_group_name_H-M 'P 1'
_symmetry_Int_Tables_number 1
loop_
_symmetry_equiv_pos_as_xyz
'x,y,z'
loop_
_atom_site_label
_atom_site_fract_x
_atom_site_fract_y
_atom_site_fract_z
Rb1 0.000 0.000 0.000
Tl1 0.000 0.000 0.500
Pb1 0.500 0.500 0.311
Pb2 0.500 0.500 0.689
```

## Properties
**Fermi-level density of states**: 2.648 states/eV/cell
**Crystal system**: tetragonal



#one is preferred energetically. Next in line: 52 meV/atom higher.



#one
RbTlPb2 | PBE | optimized geometry

CIF file:
```
data_RbTlPb2
_cell_length_a 5.061
_cell_length_b 5.061
_cell_length_c 5.426
_cell_angle_alpha 90.00
_cell_angle_beta 90.00
_cell_angle_gamma 90.00
_symmetry_space_group_name_H-M 'P 1'
_symmetry_Int_Tables_number 1
loop_
_symmetry_equiv_pos_as_xyz
'x,y,z'
loop_
_atom_site_label
_atom_site_fract_x
_atom_site_fract_y
_atom_site_fract_z
Rb1 0.000 0.000 0.000
Tl1 0.500 0.500 0.000
Pb1 0.000 0.500 0.500
Pb2 0.500 0.000 0.500
```

## Properties
**Fermi-level density of states**: 4.034 states/eV/cell
**Crystal system**: tetragonal



#two
RbTlPb2 | PBE | optimized geometry

CIF file:
```
data_RbTlPb2
_cell_length_a 5.497
_cell_length_b 5.497
_cell_length_c 19.714
_cell_angle_alpha 90.00
_cell_angle_beta 90.00
_cell_angle_gamma 120.00
_symmetry_space_group_name_H-M 'P 1'
_symmetry_Int_Tables_number 1
loop_
_symmetry_equiv_pos_as_xyz
'x,y,z'
loop_
_atom_site_label
_atom_site_fract_x
_atom_site_fract_y
_atom_site_fract_z
Rb1 0.000 0.000 0.000
Rb2 0.333 0.667 0.667
Rb3 0.667 0.333 0.333
Tl1 0.000 0.000 0.500
Tl2 0.333 0.667 0.167
Tl3 0.667 0.333 0.833
Pb1 0.000 0.000 0.202
Pb2 0.000 0.000 0.798
Pb3 0.333 0.667 0.465
Pb4 0.333 0.667 0.869
Pb5 0.667 0.333 0.131
Pb6 0.667 0.333 0.535
```

## Properties
**Fermi-level density of states**: 9.525 states/eV/cell
**Crystal system**: trigonal



#two is preferred energetically. Next in line: 52 meV/atom higher.



#one
RbTl4Pb | PBE | optimized geometry

CIF file:
```
data_RbTl4Pb
_cell_length_a 6.661
_cell_length_b 6.661
_cell_length_c 6.661
_cell_angle_alpha 60.00
_cell_angle_beta 60.00
_cell_angle_gamma 60.00
_symmetry_space_group_name_H-M 'P 1'
_symmetry_Int_Tables_number 1
loop_
_symmetry_equiv_pos_as_xyz
'x,y,z'
loop_
_atom_site_label
_atom_site_fract_x
_atom_site_fract_y
_atom_site_fract_z
Rb1 0.000 0.000 0.000
Tl1 0.376 0.376 0.376
Tl2 0.376 0.376 0.872
Tl3 0.376 0.872 0.376
Tl4 0.872 0.376 0.376
Pb1 0.750 0.750 0.750
```

## Properties
**Fermi-level density of states**: 1.335 states/eV/cell
**Crystal system**: cubic



#two
RbTl4Pb | PBE | optimized geometry

CIF file:
```
data_RbTl4Pb
_cell_length_a 9.802
_cell_length_b 4.937
_cell_length_c 9.011
_cell_angle_alpha 90.00
_cell_angle_beta 90.00
_cell_angle_gamma 90.00
_symmetry_space_group_name_H-M 'P 1'
_symmetry_Int_Tables_number 1
loop_
_symmetry_equiv_pos_as_xyz
'x,y,z'
loop_
_atom_site_label
_atom_site_fract_x
_atom_site_fract_y
_atom_site_fract_z
Rb1 0.250 0.000 0.136
Rb2 0.750 0.000 0.864
Tl1 0.000 0.000 0.500
Tl2 0.045 0.500 0.805
Tl3 0.250 0.500 0.454
Tl4 0.455 0.500 0.805
Tl5 0.500 0.000 0.500
Tl6 0.545 0.500 0.195
Tl7 0.750 0.500 0.546
Tl8 0.955 0.500 0.195
Pb1 0.250 0.000 0.730
Pb2 0.750 0.000 0.270
```

## Properties
**Fermi-level density of states**: 6.741 states/eV/cell
**Crystal system**: orthorhombic



#two is preferred energetically. Next in line: 21 meV/atom higher.



#one
Rb2TlPb2 | PBE | optimized geometry

CIF file:
```
data_Rb2TlPb2
_cell_length_a 10.659
_cell_length_b 10.659
_cell_length_c 3.723
_cell_angle_alpha 90.00
_cell_angle_beta 90.00
_cell_angle_gamma 90.00
_symmetry_space_group_name_H-M 'P 1'
_symmetry_Int_Tables_number 1
loop_
_symmetry_equiv_pos_as_xyz
'x,y,z'
loop_
_atom_site_label
_atom_site_fract_x
_atom_site_fract_y
_atom_site_fract_z
Rb1 0.196 0.304 0.000
Rb2 0.304 0.804 0.000
Rb3 0.696 0.196 0.000
Rb4 0.804 0.696 0.000
Tl1 0.000 0.000 0.500
Tl2 0.500 0.500 0.500
Pb1 0.100 0.600 0.500
Pb2 0.400 0.100 0.500
Pb3 0.600 0.900 0.500
Pb4 0.900 0.400 0.500
```

## Properties
**Fermi-level density of states**: 6.985 states/eV/cell
**Crystal system**: tetragonal



#two
Rb2TlPb2 | PBE | optimized geometry

CIF file:
```
data_Rb2TlPb2
_cell_length_a 5.640
_cell_length_b 5.640
_cell_length_c 15.253
_cell_angle_alpha 90.00
_cell_angle_beta 90.00
_cell_angle_gamma 90.00
_symmetry_space_group_name_H-M 'P 1'
_symmetry_Int_Tables_number 1
loop_
_symmetry_equiv_pos_as_xyz
'x,y,z'
loop_
_atom_site_label
_atom_site_fract_x
_atom_site_fract_y
_atom_site_fract_z
Rb1 0.000 0.500 0.250
Rb2 0.000 0.500 0.750
Rb3 0.500 0.000 0.250
Rb4 0.500 0.000 0.750
Tl1 0.000 0.000 0.000
Tl2 0.500 0.500 0.500
Pb1 0.000 0.000 0.409
Pb2 0.000 0.000 0.591
Pb3 0.500 0.500 0.091
Pb4 0.500 0.500 0.909
```

## Properties
**Fermi-level density of states**: 10.906 states/eV/cell
**Crystal system**: tetragonal



#three
Rb2TlPb2 | PBE | optimized geometry

CIF file:
```
data_Rb2TlPb2
_cell_length_a 6.864
_cell_length_b 6.864
_cell_length_c 10.334
_cell_angle_alpha 97.58
_cell_angle_beta 97.58
_cell_angle_gamma 65.72
_symmetry_space_group_name_H-M 'P 1'
_symmetry_Int_Tables_number 1
loop_
_symmetry_equiv_pos_as_xyz
'x,y,z'
loop_
_atom_site_label
_atom_site_fract_x
_atom_site_fract_y
_atom_site_fract_z
Rb1 0.029 0.276 0.159
Rb2 0.276 0.029 0.659
Rb3 0.724 0.971 0.341
Rb4 0.971 0.724 0.841
Tl1 0.415 0.585 0.250
Tl2 0.585 0.415 0.750
Pb1 0.236 0.509 0.493
Pb2 0.491 0.764 0.007
Pb3 0.509 0.236 0.993
Pb4 0.764 0.491 0.507
```

## Properties
**Fermi-level density of states**: 5.432 states/eV/cell
**Crystal system**: monoclinic



#three is preferred energetically. Next in line: 152 meV/atom higher.



#one
Rb2Tl5Pb | PBE | optimized geometry

CIF file:
```
data_Rb2Tl5Pb
_cell_length_a 5.761
_cell_length_b 5.761
_cell_length_c 17.377
_cell_angle_alpha 90.00
_cell_angle_beta 90.00
_cell_angle_gamma 90.00
_symmetry_space_group_name_H-M 'P 1'
_symmetry_Int_Tables_number 1
loop_
_symmetry_equiv_pos_as_xyz
'x,y,z'
loop_
_atom_site_label
_atom_site_fract_x
_atom_site_fract_y
_atom_site_fract_z
Rb1 0.000 0.000 0.247
Rb2 0.000 0.000 0.753
Rb3 0.500 0.500 0.253
Rb4 0.500 0.500 0.747
Tl1 0.000 0.000 0.500
Tl2 0.000 0.500 0.101
Tl3 0.000 0.500 0.399
Tl4 0.000 0.500 0.601
Tl5 0.000 0.500 0.899
Tl6 0.500 0.000 0.101
Tl7 0.500 0.000 0.399
Tl8 0.500 0.000 0.601
Tl9 0.500 0.000 0.899
Tl10 0.500 0.500 0.000
Pb1 0.000 0.000 0.000
Pb2 0.500 0.500 0.500
```

## Properties
**Fermi-level density of states**: 8.584 states/eV/cell
**Crystal system**: tetragonal



#two
Rb2Tl5Pb | PBE | optimized geometry

CIF file:
```
data_Rb2Tl5Pb
_cell_length_a 7.673
_cell_length_b 7.673
_cell_length_c 6.008
_cell_angle_alpha 90.00
_cell_angle_beta 90.00
_cell_angle_gamma 90.00
_symmetry_space_group_name_H-M 'P 1'
_symmetry_Int_Tables_number 1
loop_
_symmetry_equiv_pos_as_xyz
'x,y,z'
loop_
_atom_site_label
_atom_site_fract_x
_atom_site_fract_y
_atom_site_fract_z
Rb1 0.000 0.500 0.000
Rb2 0.500 0.000 0.000
Tl1 0.000 0.000 0.000
Tl2 0.296 0.296 0.500
Tl3 0.296 0.704 0.500
Tl4 0.704 0.296 0.500
Tl5 0.704 0.704 0.500
Pb1 0.000 0.000 0.500
```

## Properties
**Fermi-level density of states**: 5.325 states/eV/cell
**Crystal system**: tetragonal



#one is preferred energetically. Next in line: 136 meV/atom higher.